The following is a DFT calculation (GGA-PBE) of an optimized crystal structure of TeAsP2.

Computed properties:
- Crystal system: orthorhombic
- ΔE_f (raw): 1.904 eV per formula unit

a b c (Å): 3.412 7.394 8.602
angles (deg): 90.00 90.00 90.00
Space group Cmm2 (No. 35)
One atom of each set of equivalent atoms:
Te1 0.000 0.000 0.000 (multiplicity 2)
As1 0.000 0.500 0.398 (multiplicity 2)
P1 0.000 0.000 0.576 (multiplicity 2)
P2 0.000 0.500 0.789 (multiplicity 2)